A plane-wave DFT calculation with PBE was carried out for crystalline Dy2I3 at its relaxed geometry.

Output
Energy above the most stable polymorph in this dataset in eV/atom: 0.235

```
data_Dy2I3
_symmetry_space_group_name_H-M 'R -3 c'
_symmetry_Int_Tables_number 167
_symmetry_space_group_name_Hall '-R 3 2"c'
_cell_length_a 7.2400
_cell_length_b 7.2400
_cell_length_c 22.7111
_cell_angle_alpha 90.00
_cell_angle_beta 90.00
_cell_angle_gamma 120.00
loop_
_atom_site_label
_atom_site_type_symbol
_atom_site_fract_x
_atom_site_fract_y
_atom_site_fract_z
Dy1 Dy 0.0000 0.0000 0.1714
I1 I 0.0000 0.3455 0.2500
```


A plane-wave DFT calculation with PBE was carried out for crystalline BaLi2Os at its relaxed geometry.

```
data_BaLi2Os
_symmetry_space_group_name_H-M 'F -4 3 m'
_symmetry_Int_Tables_number 216
_symmetry_space_group_name_Hall 'F -4 2 3'
_cell_length_a 6.8411
_cell_length_b 6.8411
_cell_length_c 6.8411
_cell_angle_alpha 90.00
_cell_angle_beta 90.00
_cell_angle_gamma 90.00
loop_
_atom_site_label
_atom_site_type_symbol
_atom_site_fract_x
_atom_site_fract_y
_atom_site_fract_z
Ba1 Ba 0.0000 0.0000 0.0000
Li1 Li 0.0000 0.0000 0.5000
Li2 Li 0.2500 0.2500 0.7500
Os1 Os 0.2500 0.2500 0.2500
```


Energy values, unit eV per atom, following the record order: -3.61, -3.53.